(1)
Compound: CsZn2Hg2
Source: Alexandria
Functional: GGA-PBE
Structure: optimized geometry

Values from the calculation:
- Energy: -0.8442 eV per atom
- Energy relative to the elements: -0.04 eV per atom
- Polymorph energy (0 for the lowest one): 0 meV per atom
- SG: I4/mmm (139)

Lattice parameters (Å, degrees): 4.5111 4.5111 8.3910 74.41 74.41 90.00
Element x y z (fractional)
Hg: 0.3593 0.3593 0.2815
Zn: 0.7500 0.2500 0.5000
Zn: 0.2500 0.7500 0.5000
Hg: 0.6407 0.6407 0.7185
Cs: 0.0000 0.0000 0.0000

(2)
Compound: Zr3Sb4
Source: Alexandria
Functional: GGA-PBE
Structure: optimized geometry

Values from the calculation:
- Energy: -6.5137 eV per atom
- E_form (uncorrected): -0.495 eV/atom
- Polymorph energy (0 for the lowest one): 65 meV per atom
- SG: C2/m (12)

Lattice parameters (Å, degrees): 4.0357 5.9603 8.0886 86.23 104.45 90.00
Element x y z (fractional)
Zr: 0.1949 0.2419 0.3898
Sb: 0.1673 0.7493 0.3346
Sb: 0.8327 0.2507 0.6654
Sb: 0.4418 0.6977 0.8835
Zr: 0.0000 0.0000 0.0000
Sb: 0.5582 0.3023 0.1165
Zr: 0.8051 0.7581 0.6102

Question: The highest polymorph energy (0 for the lowest one) belongs to which entry?
Answer: Zr3Sb4